(1)
First-principles (GGA-PBE) data for a relaxed structure of Ac2P3Pd12Pt, as listed in Alexandria.

```
18
Lattice="7.483 -0.613 -0.435 3.162 6.810 -0.435 3.162 1.841 6.571" Properties=species:S:1:pos:R:3 pbc="T T T"
Ac 8.421 4.902 3.477
Ac 5.386 3.135 2.224
P 3.742 -0.307 -0.218
P 1.581 3.405 -0.218
P 1.581 0.920 3.285
Pd 5.770 3.359 5.448
Pd 10.370 6.036 1.755
Pd 8.296 7.214 5.117
Pd 8.286 1.930 1.369
Pd 10.370 3.651 5.117
Pd 5.770 6.252 1.369
Pd 8.038 4.679 0.253
Pd 3.438 2.001 3.946
Pd 5.512 0.824 0.584
Pd 5.522 6.108 4.332
Pd 3.438 4.386 0.584
Pd 8.038 1.785 4.332
Pt 0.000 0.000 0.000
```

Computed properties:
DFT total energy, eV/atom: -5.506
Formation energy, meV/atom: -350

=====

(2)
First-principles (GGA-PBE) data for a relaxed structure of ZrAl2Cu2, as listed in Alexandria.

```
10
Lattice="7.450 0.000 0.000 0.000 7.450 0.000 0.000 0.000 2.763" Properties=species:S:1:pos:R:3 pbc="T T T"
Cu 2.805 6.530 0.000
Cu 6.530 4.645 0.000
Cu 4.645 0.920 0.000
Cu 0.920 2.805 0.000
Zr 0.000 0.000 0.000
Zr 3.725 3.725 0.000
Al 1.274 4.998 1.382
Al 4.998 6.176 1.382
Al 6.176 2.451 1.382
Al 2.451 1.274 1.382
```

Computed properties:
DFT total energy, eV/atom: -5.115
Formation energy, meV/atom: -270

=====

(3)
First-principles (GGA-PBE) data for a relaxed structure of CeMgSi2, as listed in Alexandria.

```
4
Lattice="4.066 0.000 0.000 0.000 4.418 0.000 0.000 0.000 4.418" Properties=species:S:1:pos:R:3 pbc="T T T"
Si 0.000 0.000 2.209
Si 0.000 2.209 0.000
Mg 2.033 2.209 2.209
Ce 2.033 0.000 0.000
```

Computed properties:
ΔE_f (raw), eV per atom: -0.358
DFT total energy, eV/atom: -4.952

=====

(4)
First-principles (GGA-PBE) data for a relaxed structure of Sr2ErSn3Rh4, as listed in Alexandria.

```
10
Lattice="-3.072 -2.315 2.348 -1.344 -2.051 -3.781 7.618 -8.292 1.789" Properties=species:S:1:pos:R:3 pbc="T T T"
Sr 0.248 -3.099 1.593
Sr 5.162 -7.376 -0.520
Er 1.601 -6.329 0.178
Sn 3.809 -4.146 0.894
Sn 5.148 -8.432 2.743
Sn 0.262 -2.043 -1.671
Rh -2.208 -2.183 -0.717
Rh 0.000 0.000 0.000
Rh 3.346 -6.471 2.320
Rh 2.064 -4.004 -1.248
```

Computed properties:
DFT total energy, eV/atom: -5.632
Formation energy, meV/atom: -698

=====

- Which formula does entry 1 have?
  Ac2P3Pd12Pt